Density functional theory data (PBE) for a relaxed structure of GdHfAl2.

abc: 6.968 6.968 6.968
angles: 90.00 90.00 90.00
Space group Fm-3m (No. 225)
One atom of each set of equivalent atoms:
Gd: 0.000 0.000 0.000
Hf: 0.000 0.000 0.500
Al: 0.250 0.250 0.250

Output
VASP energy = -129.96 eV/cell



Density functional theory data (PBE) for a relaxed structure of PmNd4Sm3Te8.

abc: 8.9430 8.9430 21.9613
angles: 90.00 90.00 120.00
Space group R-3m (No. 166, hexagonal axes)
One atom of each set of equivalent atoms:
Pm: 0.0000 0.0000 0.0000
Nd: 0.0000 0.0000 0.5000
Nd: 0.0000 0.5000 0.5000
Sm: 0.0000 0.5000 0.0000
Te: 0.0000 0.0000 0.2515
Te: 0.0009 0.5004 0.2513

Output
VASP energy = -256.63 eV/cell



Density functional theory data (PBE) for a relaxed structure of Mg11Cd9Au4.

abc: 14.254 21.272 3.278
angles: 90.00 90.00 90.00
Space group Cmmm (No. 65)
One atom of each set of equivalent atoms:
Mg: 0.000 0.000 0.000
Mg: 0.000 0.157 0.000
Mg: 0.000 0.368 0.000
Mg: 0.198 0.500 0.000
Mg: 0.238 0.176 0.000
Cd: 0.000 0.500 0.500
Cd: 0.105 0.259 0.500
Cd: 0.141 0.074 0.500
Au: 0.151 0.399 0.500

Output
VASP energy = -91.11 eV/cell



Density functional theory data (PBE) for a relaxed structure of SrSi2Ir2.

abc: 7.634 7.634 2.868
angles: 90.00 90.00 90.00
Space group P4/mbm (No. 127)
One atom of each set of equivalent atoms:
Sr: 0.000 0.000 0.000
Si: 0.147 0.353 0.500
Ir: 0.134 0.634 0.000

Output
VASP energy = -63.10 eV/cell



Density functional theory data (PBE) for a relaxed structure of BeMoPt2.

abc: 3.813 3.813 7.820
angles: 90.00 90.00 90.00
Space group I4/mmm (No. 139)
One atom of each set of equivalent atoms:
Be: 0.000 0.000 0.000
Mo: 0.000 0.000 0.500
Pt: 0.000 0.500 0.250

Output
VASP energy = -54.92 eV/cell



Density functional theory data (PBE) for a relaxed structure of CaCBr.

abc: 4.070 4.298 10.342
angles: 86.14 88.24 62.03
Space group P-1 (No. 2)
One atom of each set of equivalent atoms:
Ca: 0.140 0.194 0.156
C: 0.424 0.645 0.027
Br: 0.189 0.176 0.690

Output
VASP energy = -31.82 eV/cell



Density functional theory data (PBE) for a relaxed structure of SbPdRh.

abc: 6.115 6.115 6.115
angles: 90.00 90.00 90.00
Space group F-43m (No. 216)
One atom of each set of equivalent atoms:
Sb: 0.000 0.000 0.000
Pd: 0.250 0.250 0.250
Rh: 0.250 0.250 0.750

Output
VASP energy = -70.79 eV/cell



Density functional theory data (PBE) for a relaxed structure of PmGe2Ru4.

abc: 7.678 7.678 3.963
angles: 90.00 90.00 90.00
Space group P4_2/mnm (No. 136)
One atom of each set of equivalent atoms:
Pm: 0.000 0.000 0.000
Ge: 0.217 0.217 0.500
Ru: 0.080 0.653 0.500

Output
VASP energy = -108.05 eV/cell